Record 1
Here is an optimized crystal structure of AgAs2W from the Alexandria database. Energies are from PBE.

Properties
Its symmetry is Cmm2, No. 35. The magnetic moment is 0.00 μB per cell. Its energy of formation from the pure elements is 1.599 eV per formula unit. Its relative energy among the computed polymorphs is 0.268 eV/atom. The total energy is -23.5 eV/f.u.

abc: 2.799 2.799 10.190
angles: 90.00 90.00 105.74
Element x y z (fractional)
Ag 0.000 0.000 0.000
As 0.000 0.000 0.569
As 0.500 0.500 0.225
W 0.500 0.500 0.767

***

Record 2
Here is an optimized crystal structure of Ag2AsW from the Alexandria database. Energies are from PBE.

Properties
Its symmetry is Cmm2, No. 35. The magnetic moment is 0.00 μB per cell. Its energy of formation from the pure elements is 1.393 eV per formula unit. The total energy is -21.9 eV/f.u.

abc: 2.822 2.822 9.729
angles: 90.00 90.00 109.12
Element x y z (fractional)
Ag 0.000 0.000 0.000
Ag 0.500 0.500 0.243
As 0.000 0.000 0.547
W 0.500 0.500 0.754

***

Record 3
Here is an optimized crystal structure of Ag3AsW from the Alexandria database. Energies are from PBE.

Properties
Its symmetry is Pm-3m, No. 221. The magnetic moment is 0.00 μB per cell. Its energy of formation from the pure elements is 7.966 eV per formula unit. Its relative energy among the computed polymorphs is 0.000 eV/atom. The total energy is -18.2 eV/f.u.

abc: 4.753 4.753 4.753
angles: 90.00 90.00 90.00
Element x y z (fractional)
Ag 0.000 0.000 0.500
Ag 0.000 0.500 0.000
Ag 0.500 0.000 0.000
As 0.000 0.000 0.000
W 0.500 0.500 0.500

***

Record 4
Here is an optimized crystal structure of AgAsW from the Alexandria database. Energies are from PBE.

Properties
Its symmetry is I4mm, No. 107. The magnetic moment is 0.00 μB per cell. Its energy of formation from the pure elements is 1.373 eV per formula unit. Its relative energy among the computed polymorphs is 0.059 eV/atom. The total energy is -19.1 eV/f.u.

abc: 5.604 5.604 5.604
angles: 147.09 147.09 47.23
Element x y z (fractional)
Ag 0.000 0.000 0.000
As 0.688 0.688 0.000
W 0.309 0.309 0.000